Entry 1:
This record from the Alexandria database describes a relaxed CeSmS4 crystal. The functional is PBE.

energy above the lowest structure with this stoichiometry = 8 meV per atom
magnetic moment = 0.021 μB per atom
symmetry = P4/mmm (123)

Cell: 4.4374 4.4374 7.2902 Å, 90.00 90.00 90.00°
Closest atoms and distances in Å follow each position.
Element x y z (fractional)
Ce 0.0000 0.0000 0.5000  8 S 2.85
Sm 0.0000 0.0000 0.0000  8 S 2.90
S 0.5000 0.0000 0.2553  2 Ce 2.85, 2 Sm 2.90, 4 S 3.14
S 0.0000 0.5000 0.2553  2 Ce 2.85, 2 Sm 2.90, 4 S 3.14
S 0.0000 0.5000 0.7447  2 Ce 2.85, 2 Sm 2.90, 4 S 3.14
S 0.5000 0.0000 0.7447  2 Ce 2.85, 2 Sm 2.90, 4 S 3.14

=====

Entry 2:
This record from the Alexandria database describes a relaxed CeSmS3 crystal. The functional is PBE.

energy above the lowest structure with this stoichiometry = 69 meV per atom
magnetic moment = 0.179 μB per atom
symmetry = Pmmn (59)

Cell: 3.9864 6.8735 8.7232 Å, 90.00 90.00 90.00°
Closest atoms and distances in Å follow each position.
Element x y z (fractional)
Ce 0.0000 0.0000 0.6060  7 S 2.81-2.89
Ce 0.5000 0.5000 0.3940  7 S 2.81-2.89
Sm 0.5000 0.0000 0.1517  6 S 2.74-2.95
Sm 0.0000 0.5000 0.8483  6 S 2.74-2.95
S 0.0000 0.7747 0.3266  3 Ce 2.81-2.89, 2 Sm 2.95, 1 S 3.10
S 0.5000 0.7253 0.6734  3 Ce 2.81-2.89, 2 Sm 2.95, 1 S 3.10
S 0.5000 0.2747 0.6734  3 Ce 2.81-2.89, 2 Sm 2.95, 1 S 3.10
S 0.0000 0.2253 0.3266  3 Ce 2.81-2.89, 2 Sm 2.95, 1 S 3.10
S 0.0000 0.0000 0.9359  2 Sm 2.74, 1 Ce 2.88
S 0.5000 0.5000 0.0641  2 Sm 2.74, 1 Ce 2.88

=====

Entry 3:
This record from the Alexandria database describes a relaxed CeSmS2 crystal. The functional is PBE.

energy above the lowest structure with this stoichiometry = 1 meV per atom
magnetic moment = 0.165 μB per atom
symmetry = I4_1/amd (141)

Cell: 5.6779 5.6779 6.9522 Å, 114.10 114.10 90.00°
Closest atoms and distances in Å follow each position.
Element x y z (fractional)
Ce 0.7500 0.2500 0.5000  6 S 2.84
Ce 0.0000 0.0000 0.0000  6 S 2.84
Sm 0.5000 0.5000 0.0000  6 S 2.83-2.84
Sm 0.2500 0.7500 0.5000  6 S 2.83-2.84
S 0.7496 0.7496 0.4992  3 Sm 2.83-2.84, 3 Ce 2.84
S 0.4996 0.9996 0.9992  3 Sm 2.83-2.84, 3 Ce 2.84
S 0.2504 0.2504 0.5008  3 Sm 2.83-2.84, 3 Ce 2.84
S 0.0004 0.5004 0.0008  3 Sm 2.83-2.84, 3 Ce 2.84

=====

Entry 4:
This record from the Alexandria database describes a relaxed Ce3SmS4 crystal. The functional is PBE.

E = -6.929 eV per atom
magnetic moment = 0.064 μB per atom
symmetry = Pm-3m (221)

Cell: 5.6685 5.6685 5.6685 Å, 90.00 90.00 90.00°
Closest atoms and distances in Å follow each position.
Element x y z (fractional)
Ce 0.0000 0.5000 0.5000  6 S 2.83
Ce 0.5000 0.0000 0.5000  6 S 2.83
Ce 0.5000 0.5000 0.0000  6 S 2.83
Sm 0.0000 0.0000 0.0000  6 S 2.83
S 0.5000 0.0000 0.0000  4 Ce 2.83, 2 Sm 2.83
S 0.0000 0.5000 0.0000  4 Ce 2.83, 2 Sm 2.83
S 0.0000 0.0000 0.5000  4 Ce 2.83, 2 Sm 2.83
S 0.5000 0.5000 0.5000  6 Ce 2.83

=====

Entry 5:
This record from the Alexandria database describes a relaxed CeSmS4 crystal. The functional is PBE.

energy above the lowest structure with this stoichiometry = 0 meV per atom
magnetic moment = 0.000 μB per atom
symmetry = Cmmm (65)

Cell: 4.2158 6.4153 6.4153 Å, 90.27 90.00 90.00°
Closest atoms and distances in Å follow each position.
Element x y z (fractional)
Ce 0.0000 0.5000 0.5000  6 S 2.69-2.73
Sm 0.5000 0.0000 0.0000  6 S 2.79-2.81
S 0.0000 0.2023 0.2023  1 Ce 2.69, 2 Sm 2.79
S 0.0000 0.7977 0.7977  1 Ce 2.69, 2 Sm 2.79
S 0.5000 0.6914 0.3086  2 Ce 2.73, 1 Sm 2.81
S 0.5000 0.3086 0.6914  2 Ce 2.73, 1 Sm 2.81

=====

Entry 6:
This record from the Alexandria database describes a relaxed Ce6SmS8 crystal. The functional is PBE.

E = -6.917 eV per atom
magnetic moment = 0.358 μB per atom
symmetry = Fm-3m (225)

Cell: 8.0423 8.0423 8.0423 Å, 60.00 60.00 60.00°
Closest atoms and distances in Å follow each position.
Element x y z (fractional)
Ce 0.0000 0.5000 0.5000  6 S 2.84
Ce 0.5000 0.0000 0.0000  6 S 2.84
Ce 0.5000 0.5000 0.0000  6 S 2.84
Ce 0.0000 0.0000 0.5000  6 S 2.84
Ce 0.0000 0.5000 0.0000  6 S 2.84
Ce 0.5000 0.0000 0.5000  6 S 2.84
Sm 0.0000 0.0000 0.0000  6 S 2.83
S 0.7500 0.7500 0.7500  6 Ce 2.84
S 0.2500 0.2500 0.2500  6 Ce 2.84
S 0.7512 0.2488 0.2488  1 Sm 2.83, 4 Ce 2.84
S 0.2488 0.7512 0.7512  1 Sm 2.83, 4 Ce 2.84
S 0.2488 0.2488 0.7512  1 Sm 2.83, 4 Ce 2.84
S 0.7512 0.7512 0.2488  1 Sm 2.83, 4 Ce 2.84
S 0.7512 0.2488 0.7512  1 Sm 2.83, 4 Ce 2.84
S 0.2488 0.7512 0.2488  1 Sm 2.83, 4 Ce 2.84